Computed, not measured: HfFe3 after structural relaxation at the PBE-GGA level of DFT.

```
HfFe3
1.0
4.2401 0.0000 0.0000
2.1201 3.6721 0.0000
2.1201 1.2240 3.4621
Fe Hf
3 1
direct
0.7500 0.7500 0.7500 Fe
0.0000 0.0000 0.0000 Fe
0.2500 0.2500 0.2500 Fe
0.5000 0.5000 0.5000 Hf
```

formation energy from the elements	-0.094	eV per atom
final energy	-8.929	eV/atom
SG	No. 225
total magnetization	1.3543	μB per atom
Fermi-level density of states	1.039	states/eV/atom